# GGA-PBE CrSbMo2, optimized geometry
# - crystal system = trigonal
# - formation energy (no corrections) (meV/atom) = 468
# - calculated density (Mg/m³) = 9.01
data_CrSbMo2
_cell_length_a 3.0865
_cell_length_b 3.0865
_cell_length_c 24.5004
_cell_angle_alpha 90.00
_cell_angle_beta 90.00
_cell_angle_gamma 120.00
_symmetry_space_group_name_H-M 'R 3 m'
_symmetry_Int_Tables_number 160
_symmetry_space_group_name_Hall 'R 3 -2"'
loop_
_atom_site_label
_atom_site_type_symbol
_atom_site_fract_x
_atom_site_fract_y
_atom_site_fract_z
Cr1 Cr 0.0000 0.0000 0.0000
Sb1 Sb 0.0000 0.0000 0.2458
Mo1 Mo 0.0000 0.0000 0.4864
Mo2 Mo 0.0000 0.0000 0.7386